Entry 1:
A plane-wave DFT calculation with PBE was carried out for a relaxed NbIn2Pt9 crystal.

Cell lengths 4.0354, 4.0354, 12.0832 Å; angles 90.00, 90.00, 90.00 degrees
With the nearest neighbours (Å) after each atom.
Space group P4/mmm (No. 123)
Asymmetric unit:
1 Nb 0.0000 0.0000 0.0000  12 Pt 2.78-2.85
2 In 0.0000 0.0000 0.3347  12 Pt 2.84-2.93
3 Pt 0.0000 0.5000 0.1587  8 Pt 2.78-2.89, 2 Nb 2.78, 2 In 2.93
4 Pt 0.0000 0.5000 0.5000  4 In 2.84, 8 Pt 2.85-2.88
5 Pt 0.5000 0.5000 0.0000  8 Pt 2.78, 4 Nb 2.85
6 Pt 0.5000 0.5000 0.3302  4 In 2.85, 8 Pt 2.88-2.89

Computed properties:
- Formation enthalpy at 0 K: -519 meV per atom
- V: 16.40 A^3/atom
- Final energy: -76.14 eV per cell
- Calculated density: 17.5 g/cm³

***

Entry 2:
A plane-wave DFT calculation with PBE was carried out for a relaxed Nb3InPt crystal.

Cell lengths 4.9170, 4.9170, 4.9170 Å; angles 90.00, 90.00, 90.00 degrees
With the nearest neighbours (Å) after each atom.
Space group Pm-3m (No. 221)
Asymmetric unit:
1 Nb 0.0000 0.0000 0.5000  2 Pt 2.46
2 In 0.5000 0.5000 0.5000  12 Nb 3.48
3 Pt 0.0000 0.0000 0.0000  6 Nb 2.46

Computed properties:
- Formation enthalpy at 0 K: 836 meV per atom
- V: 23.78 A^3/atom
- Polymorph energy (0 for the lowest one): 0.0000 eV/atom
- Final energy: -34.81 eV per cell
- Calculated density: 8.2 g/cm³

***

Entry 3:
A plane-wave DFT calculation with PBE was carried out for a relaxed Nb2InPt crystal.

Cell lengths 4.0940, 4.0940, 17.8473 Å; angles 90.00, 90.00, 120.00 degrees
With the nearest neighbours (Å) after each atom.
Space group R3m (No. 160, hexagonal axes)
Asymmetric unit:
1 Nb 0.0000 0.0000 0.0000  3 Pt 2.73, 3 In 2.91
2 Nb 0.0000 0.0000 0.2004  3 Pt 2.57
3 In 0.0000 0.0000 0.4283  1 Pt 2.88, 6 Nb 2.91-3.02
4 Pt 0.0000 0.0000 0.5899  6 Nb 2.57-2.73

Computed properties:
- Formation enthalpy at 0 K: 200 meV per atom
- V: 21.59 A^3/atom
- Final energy: -84.36 eV per cell
- Calculated density: 9.5 g/cm³

***

Entry 4:
A plane-wave DFT calculation with PBE was carried out for a relaxed NbIn3Pt crystal.

Cell lengths 5.1108, 5.1108, 5.1108 Å; angles 90.00, 90.00, 90.00 degrees
With the nearest neighbours (Å) after each atom.
Space group Pm-3m (No. 221)
Asymmetric unit:
1 Nb 0.0000 0.0000 0.0000  12 In 3.61
2 In 0.0000 0.5000 0.5000  2 Pt 2.56
3 Pt 0.5000 0.5000 0.5000  6 In 2.56

Computed properties:
- Formation enthalpy at 0 K: 597 meV per atom
- V: 26.70 A^3/atom
- Polymorph energy (0 for the lowest one): 0.0000 eV/atom
- Final energy: -21.34 eV per cell
- Calculated density: 7.9 g/cm³

***

Entry 5:
A plane-wave DFT calculation with PBE was carried out for a relaxed NbIn2Pt crystal.

Cell lengths 6.7385, 6.7385, 6.7385 Å; angles 90.00, 90.00, 90.00 degrees
With the nearest neighbours (Å) after each atom.
Space group Fm-3m (No. 225)
Asymmetric unit:
1 Nb 0.0000 0.0000 0.0000  8 In 2.92
2 In 0.2500 0.2500 0.2500  4 Nb 2.92, 4 Pt 2.92
3 Pt 0.0000 0.0000 0.5000  8 In 2.92

Computed properties:
- Formation enthalpy at 0 K: 20 meV per atom
- V: 19.12 A^3/atom
- Final energy: -86.03 eV per cell
- Calculated density: 11.2 g/cm³

***

Entry 6:
A plane-wave DFT calculation with PBE was carried out for a relaxed NbIn2Pt crystal.

Cell lengths 4.3269, 4.3269, 4.0423 Å; angles 90.00, 90.00, 90.00 degrees
With the nearest neighbours (Å) after each atom.
Space group P4/mmm (No. 123)
Asymmetric unit:
1 Nb 0.0000 0.0000 0.0000  8 In 2.96, 4 Pt 3.06
2 In 0.0000 0.5000 0.5000  4 Pt 2.96, 4 Nb 2.96, 4 In 3.06
3 Pt 0.5000 0.5000 0.0000  8 In 2.96, 4 Nb 3.06

Computed properties:
- Formation enthalpy at 0 K: -177 meV per atom
- V: 18.92 A^3/atom
- Final energy: -22.30 eV per cell
- Calculated density: 11.4 g/cm³

***

Entry 7:
A plane-wave DFT calculation with PBE was carried out for a relaxed Nb2InPt crystal.

Cell lengths 7.5695, 7.5695, 5.5934 Å; angles 90.00, 90.00, 90.00 degrees
With the nearest neighbours (Å) after each atom.
Space group I-42d (No. 122)
Asymmetric unit:
1 Nb 0.2197 0.2500 0.1250  2 Pt 2.61, 2 Nb 2.83
2 In 0.0000 0.0000 0.5000  2 Pt 2.80, 4 Nb 2.93
3 Pt 0.0000 0.0000 0.0000  4 Nb 2.61, 2 In 2.80

Computed properties:
- Formation enthalpy at 0 K: 137 meV per atom
- V: 20.03 A^3/atom
- Final energy: -113.49 eV per cell
- Calculated density: 10.3 g/cm³

***

Entry 8:
A plane-wave DFT calculation with PBE was carried out for a relaxed Nb12In3Pt crystal.

Cell lengths 5.2868, 5.2924, 10.6392 Å; angles 90.00, 90.00, 90.00 degrees
With the nearest neighbours (Å) after each atom.
Space group Pmmm (No. 47)
Asymmetric unit:
1 Nb 0.0000 0.0000 0.1184  2 Nb 2.52-2.68
2 Nb 0.0000 0.0000 0.3703  2 Nb 2.68-2.76, 4 In 2.93-2.98
3 Nb 0.2453 0.5000 0.2433  2 Nb 2.59-2.69, 1 Pt 2.90
4 Nb 0.5000 0.2455 0.5000  2 Nb 2.60-2.69
5 Nb 0.5000 0.2559 0.0000  2 Nb 2.58-2.71
6 In 0.0000 0.5000 0.5000  12 Nb 2.97-3.02
7 In 0.5000 0.0000 0.2509  12 Nb 2.93-3.00
8 Pt 0.0000 0.5000 0.0000  12 Nb 2.90-2.94

Computed properties:
- Formation enthalpy at 0 K: -105 meV per atom
- V: 18.61 A^3/atom
- Final energy: -136.78 eV per cell
- Calculated density: 9.2 g/cm³